Ca2CoAs2H2O8 (PBE with a Hubbard U, relaxed); symmetry = P2_1 (4); VASP energy = -5.919 eV per atom
1.0
12.6243 0.0000 0.0000
0.0000 5.5523 -0.0361
0.0000 2.0455 5.6542
Ca Co As H O
4 2 4 4 16
Direct
0.1872 0.0341 0.4056
0.6872 0.9659 0.5944
0.4356 0.4694 0.4645
0.9356 0.5306 0.5355
0.0140 0.8077 0.9207
0.5140 0.1923 0.0793
0.4201 0.7866 0.8099
0.9201 0.2134 0.1901
0.6727 0.6381 0.2483
0.1727 0.3619 0.7517
0.4148 0.2047 0.2454
0.9148 0.7953 0.7546
0.2962 0.5453 0.0599
0.7962 0.4547 0.9401
0.5743 0.8486 0.2781
0.0743 0.1514 0.7219
0.0102 0.4504 0.1811
0.5102 0.5496 0.8189
0.3386 0.7981 0.5828
0.8386 0.2019 0.4172
0.3423 0.6920 0.0736
0.8423 0.3080 0.9264
0.9869 0.9372 0.2111
0.4869 0.0628 0.7889
0.1070 0.6532 0.6580
0.6070 0.3468 0.3420
0.2255 0.3002 0.0258
0.7255 0.6998 0.9742
0.7625 0.6697 0.4511
0.2625 0.3303 0.5489